## Dy2Al3Ag2 (GGA-PBE)

Data for a geometry-optimized Dy2Al3Ag2 structure.

Cell lengths 4.2763, 7.3863, 9.7260 Å; angles 90.00, 102.70, 90.00 degrees
Closest atoms and distances in Å follow each position.
Atoms (fractional coordinates):
Dy: 0.1559 0.2500 0.3118  6 Al 3.10-3.12, 6 Ag 3.16-3.28
Dy: 0.8441 0.7500 0.6882  6 Al 3.10-3.12, 6 Ag 3.16-3.28
Dy: 0.9482 0.2500 0.8964  9 Al 3.22-3.28
Dy: 0.0518 0.7500 0.1036  9 Al 3.22-3.28
Al: 0.2244 0.7500 0.4489  6 Ag 2.67-2.78
Al: 0.7756 0.2500 0.5511  6 Ag 2.67-2.78
Al: 0.5595 0.4245 0.1189  2 Al 2.52-2.58, 1 Ag 2.64
Al: 0.4405 0.5755 0.8811  2 Al 2.52-2.58, 1 Ag 2.64
Al: 0.4405 0.9245 0.8811  2 Al 2.52-2.58, 1 Ag 2.64
Al: 0.5595 0.0755 0.1189  2 Al 2.52-2.58, 1 Ag 2.64
Ag: 0.6890 0.9466 0.3780  4 Al 2.64-2.78, 1 Ag 2.90
Ag: 0.3110 0.0534 0.6220  4 Al 2.64-2.78, 1 Ag 2.90
Ag: 0.3110 0.4466 0.6220  4 Al 2.64-2.78, 1 Ag 2.90
Ag: 0.6890 0.5534 0.3780  4 Al 2.64-2.78, 1 Ag 2.90

Computed properties:
space group	Cmcm, No. 63
volume	21.4	Å³ per atom
E above lowest polymorph	37	meV/atom
calculated formation energy	-0.348	eV/atom
E	-4.08	eV/atom

## MnAlIn2Rh (GGA-PBE)

Data for a geometry-optimized MnAlIn2Rh structure.

Cell lengths 5.0143, 4.6152, 5.0143 Å; angles 90.00, 90.00, 90.00 degrees
Closest atoms and distances in Å follow each position.
Atoms (fractional coordinates):
Mn: 0.0000 0.5000 0.0000  2 Al 2.31
Rh: 0.5000 0.5000 0.5000  8 In 3.41, 4 Mn 3.55
Al: 0.0000 0.0000 0.0000  2 Mn 2.31, 4 In 2.51
In: 0.0000 0.0000 0.5000  2 Al 2.51
In: 0.5000 0.0000 0.0000  2 Al 2.51

Computed properties:
space group	P4/mmm, No. 123
volume	23.2	Å³ per atom
calculated formation energy	0.986	eV/atom
E	-4.16	eV/atom

## MnIrBr2 (GGA-PBE)

Data for a geometry-optimized MnIrBr2 structure.

Cell lengths 4.0529, 4.6197, 4.6414 Å; angles 87.41, 90.00, 90.00 degrees
Closest atoms and distances in Å follow each position.
Atoms (fractional coordinates):
Br: 0.0000 0.0155 0.0153  2 Ir 2.56, 2 Mn 2.70
Br: 0.0000 0.4845 0.4847  2 Ir 2.56, 2 Mn 2.70
Ir: 0.5000 0.2500 0.2500  4 Br 2.56
Mn: 0.5000 0.7500 0.7500  4 Br 2.70

Computed properties:
space group	P2/m, No. 10
volume	21.7	Å³ per atom
E above lowest polymorph	537	meV/atom
formation energy from raw total energies	0.60	eV/atom
E	-4.74	eV/atom

## Er2AlSn3 (GGA-PBE)

Data for a geometry-optimized Er2AlSn3 structure.

Cell lengths 5.9835, 7.7744, 7.7744 Å; angles 115.97, 90.00, 90.00 degrees
Closest atoms and distances in Å follow each position.
Atoms (fractional coordinates):
Er: 0.7500 0.4527 0.1865  7 Sn 3.12-3.48, 1 Al 3.31
Er: 0.2500 0.5473 0.8135  7 Sn 3.12-3.48, 1 Al 3.31
Er: 0.2500 0.8135 0.5473  7 Sn 3.12-3.48, 1 Al 3.31
Er: 0.7500 0.1865 0.4527  7 Sn 3.12-3.48, 1 Al 3.31
Al: 0.7500 0.9790 0.9790  5 Sn 2.78-2.96, 2 Al 3.01
Al: 0.2500 0.0210 0.0210  5 Sn 2.78-2.96, 2 Al 3.01
Sn: 0.2500 0.3579 0.3579  1 Al 2.78
Sn: 0.7500 0.6421 0.6421  1 Al 2.78
Sn: 0.5000 0.1930 0.8070  2 Al 2.96, 2 Sn 2.99, 4 Er 3.12-3.13
Sn: 0.0000 0.1930 0.8070  2 Al 2.96, 2 Sn 2.99, 4 Er 3.12-3.13
Sn: 0.5000 0.8070 0.1930  2 Al 2.96, 2 Sn 2.99, 4 Er 3.12-3.13
Sn: 0.0000 0.8070 0.1930  2 Al 2.96, 2 Sn 2.99, 4 Er 3.12-3.13

Computed properties:
space group	Cmcm, No. 63
volume	27.1	Å³ per atom
calculated formation energy	-0.208	eV/atom
E	-4.35	eV/atom

## PmHo2Mg4 (GGA-PBE)

Data for a geometry-optimized PmHo2Mg4 structure.

Cell lengths 5.5028, 5.9776, 7.1045 Å; angles 114.88, 90.00, 90.00 degrees
Closest atoms and distances in Å follow each position.
Atoms (fractional coordinates):
Pm: 0.0000 0.5000 0.0000  6 Mg 3.16-3.22
Ho: 0.5000 0.1321 0.2641  5 Mg 2.99-3.18
Ho: 0.5000 0.8679 0.7359  5 Mg 2.99-3.18
Mg: 0.5000 0.6211 0.2422  3 Ho 2.99-3.18, 3 Mg 3.12-3.21, 2 Pm 3.16
Mg: 0.0000 0.7499 0.4997  4 Mg 2.99-3.21, 2 Ho 3.14, 1 Pm 3.22
Mg: 0.5000 0.3789 0.7578  3 Ho 2.99-3.18, 3 Mg 3.12-3.21, 2 Pm 3.16
Mg: 0.0000 0.2501 0.5003  4 Mg 2.99-3.21, 2 Ho 3.14, 1 Pm 3.22

Computed properties:
space group	Cmmm, No. 65
volume	30.3	Å³ per atom
E above lowest polymorph	228	meV/atom
calculated formation energy	0.368	eV/atom
E	-2.53	eV/atom

## Cu2As (GGA-PBE)

Data for a geometry-optimized Cu2As structure.

Cell lengths 5.8625, 5.8625, 5.8625 Å; angles 152.43, 152.43, 39.38 degrees
Closest atoms and distances in Å follow each position.
Atoms (fractional coordinates):
As: 0.0000 0.0000 0.0000  8 Cu 2.76, 4 As 2.79
Cu: 0.6752 0.6752 0.0000  8 Cu 2.57-2.79, 4 As 2.76
Cu: 0.3248 0.3248 0.0000  8 Cu 2.57-2.79, 4 As 2.76

Computed properties:
space group	I4/mmm, No. 139
volume	14.4	Å³ per atom
calculated formation energy	0.184	eV/atom
E	-4.10	eV/atom

## BaMgSn2Hg (GGA-PBE)

Data for a geometry-optimized BaMgSn2Hg structure.

Cell lengths 4.9506, 4.9506, 7.0766 Å; angles 110.47, 110.47, 90.00 degrees
Closest atoms and distances in Å follow each position.
Atoms (fractional coordinates):
Ba: 0.0000 0.0000 0.0000  8 Sn 3.79, 4 Hg 3.95, 4 Mg 3.95
Mg: 0.2500 0.7500 0.5000  4 Sn 2.96
Sn: 0.6179 0.6179 0.2357  1 Sn 2.90, 2 Hg 2.96, 2 Mg 2.96
Sn: 0.3821 0.3821 0.7643  1 Sn 2.90, 2 Hg 2.96, 2 Mg 2.96
Hg: 0.7500 0.2500 0.5000  4 Sn 2.96

Computed properties:
space group	I-4m2, No. 119
volume	30.1	Å³ per atom
calculated formation energy	-0.430	eV/atom
E	-2.79	eV/atom

## Mg2NCl (GGA-PBE)

Data for a geometry-optimized Mg2NCl structure.

Cell lengths 4.2834, 4.2834, 4.2834 Å; angles 60.00, 60.00, 60.00 degrees
Closest atoms and distances in Å follow each position.
Atoms (fractional coordinates):
Mg: 0.2500 0.2500 0.2500  4 Cl 2.62, 4 N 2.62
Mg: 0.7500 0.7500 0.7500  4 Cl 2.62, 4 N 2.62
N: 0.0000 0.0000 0.0000  8 Mg 2.62
Cl: 0.5000 0.5000 0.5000  8 Mg 2.62

Computed properties:
space group	Fm-3m, No. 225
volume	13.9	Å³ per atom
E above lowest polymorph	980	meV/atom
formation energy from raw total energies	-0.17	eV/atom
E	-3.51	eV/atom